{"formula": "La4Ti5S12O2", "functional": "SCAN", "state": "PBEsol geometry", "cell": [[-1.1666, -8.1216, -1.2574], [8.5871, -2.0397, 5.2071], [-5.4537, -0.5584, 8.6667]], "species": ["La", "La", "La", "La", "La", "La", "La", "La", "Ti", "Ti", "Ti", "Ti", "Ti", "Ti", "Ti", "Ti", "Ti", "Ti", "S", "S", "S", "S", "S", "S", "S", "S", "S", "S", "S", "S", "S", "S", "S", "S", "S", "S", "S", "S", "S", "S", "S", "S", "O", "O", "O", "O"], "frac_coords": [[0.2644, 0.2960, 0.2924], [0.2642, 0.7024, 0.7101], [0.2663, 0.7041, 0.2994], [0.2555, 0.2792, 0.7147], [0.7358, 0.7024, 0.7101], [0.7356, 0.2960, 0.2924], [0.7445, 0.2792, 0.7147], [0.7337, 0.7041, 0.2994], [0.5000, 0.9967, 0.2075], [0.5000, 0.9935, 0.7966], [0.5000, 0.7931, 0.0051], [0.5000, 0.2034, 0.0046], [0.5000, 0.9993, 0.5063], [0.5000, 0.4944, 0.0002], [0.0000, 0.5097, 0.4985], [0.0000, 0.9969, 0.0046], [0.0000, 0.0225, 0.3121], [0.0000, 0.6966, 0.0112], [0.7207, 0.9970, 0.3542], [0.7221, 0.9915, 0.6624], [0.7222, 0.6459, 0.0055], [0.7219, 0.3379, 0.0034], [0.2779, 0.9915, 0.6624], [0.2793, 0.9970, 0.3542], [0.2781, 0.3379, 0.0034], [0.2778, 0.6459, 0.0055], [0.3153, 0.9927, 0.0078], [0.6847, 0.9927, 0.0078], [0.5000, 0.2331, 0.5045], [0.5000, 0.7574, 0.5039], [0.5000, 0.5000, 0.2399], [0.5000, 0.4932, 0.7653], [0.0000, 0.7430, 0.5027], [0.0000, 0.2319, 0.4792], [0.0000, 0.4981, 0.7424], [0.0000, 0.5090, 0.2497], [0.2769, 0.4923, 0.5031], [0.7231, 0.4923, 0.5031], [0.0000, 0.1757, 0.1532], [0.0000, 0.8421, 0.1774], [0.0000, 0.1556, 0.8374], [0.0000, 0.8340, 0.8360], [0.5000, 0.1865, 0.1948], [0.5000, 0.8028, 0.8157], [0.5000, 0.8058, 0.1956], [0.5000, 0.1819, 0.8158]], "dos_ef_per_ev_atom": 0.20, "formation_energy_uncorrected_ev_per_atom": -2.2065}

=====

{"formula": "TiMo3Au", "functional": "SCAN", "state": "PBEsol geometry", "cell": [[-4.1725, 0.9339, -1.2451], [-0.9360, -4.3520, -0.1277], [-1.2435, 0.1421, 4.2739]], "species": ["Mo", "Mo", "Mo", "Au", "Ti"], "frac_coords": [[0.0000, 0.5000, 0.0000], [0.0000, 0.0000, 0.5000], [0.5000, 0.0000, 0.0000], [0.5000, 0.5000, 0.5000], [0.0000, 0.0000, 0.0000]], "e_form_ev_per_atom": 1.463, "dos_ef_per_ev_atom": 0.79, "relative_energy_kj_per_mol_fu": 0}

=====

{"formula": "ScFePS2", "functional": "SCAN", "state": "PBEsol geometry", "cell": [[4.0602, 0.0000, 0.0000], [0.0000, 4.5491, 0.0000], [0.0000, 0.0000, 4.5491]], "species": ["Sc", "P", "S", "S", "Fe"], "frac_coords": [[0.5000, 0.5000, 0.5000], [0.5000, 0.0000, 0.0000], [0.0000, 0.0000, 0.5000], [0.0000, 0.5000, 0.0000], [0.0000, 0.0000, 0.0000]], "dos_ef_per_ev_atom": 0.47, "formation_energy_uncorrected_ev_per_atom": -0.2485}

=====

{"formula": "Rb3TiRe", "functional": "SCAN", "state": "PBEsol geometry", "cell": [[-5.8844, 2.2728, 1.3514], [-1.7818, -5.8443, 2.0705], [1.9537, 1.5153, 5.9586]], "species": ["Re", "Rb", "Rb", "Rb", "Ti"], "frac_coords": [[0.0000, 0.0000, 0.0000], [0.0000, 0.5000, 0.0000], [0.0000, 0.0000, 0.5000], [0.5000, 0.0000, 0.0000], [0.5000, 0.5000, 0.5000]], "e_form_ev_per_atom": 2.080, "dos_ef_per_ev_atom": 3.03}

=====

{"formula": "Cd5Te", "functional": "SCAN", "state": "PBEsol geometry", "cell": [[3.2284, 0.0000, 0.0000], [1.6142, 6.8125, 0.0657], [1.6142, 3.0253, 6.6423]], "species": ["Cd", "Cd", "Cd", "Cd", "Cd", "Te"], "frac_coords": [[0.9647, 0.0512, 0.0194], [0.6591, 0.9659, 0.7159], [0.3232, 0.9617, 0.3919], [0.4508, 0.4101, 0.6884], [0.0305, 0.6076, 0.3315], [0.7384, 0.5035, 0.0197]], "dos_ef_per_ev_atom": 0.34, "formation_energy_uncorrected_ev_per_atom": 0.0239, "relative_energy_kj_per_mol_fu": 0}

=====

{"formula": "SbTe", "functional": "SCAN", "state": "PBEsol geometry", "cell": [[-1.6127, 3.1695, 1.2179], [-3.3909, -1.5726, -0.3976], [0.1743, -1.2692, 3.5339]], "species": ["Sb", "Te"], "frac_coords": [[0.0000, 0.0000, 0.0000], [0.5000, 0.5000, 0.5000]], "dos_ef_per_ev_atom": 0.57, "formation_energy_uncorrected_ev_per_atom": 0.2264, "relative_energy_kj_per_mol_fu": 59}

=====

{"formula": "MnCr2Mo", "functional": "SCAN", "state": "PBEsol geometry", "cell": [[-0.1615, 2.8957, -0.1216], [-1.0354, -0.2232, -3.9400], [-3.3359, -1.5119, 3.0746]], "species": ["Cr", "Cr", "Mn", "Mo"], "frac_coords": [[0.7488, 0.7488, 0.4975], [0.2512, 0.2512, 0.5025], [0.5000, 0.0000, 0.0000], [0.0000, 0.5000, 0.0000]], "e_form_ev_per_atom": 0.136, "dos_ef_per_ev_atom": 0.85, "relative_energy_kj_per_mol_fu": 11}

=====

{"formula": "Sr2TaCoAg", "functional": "SCAN", "state": "PBEsol geometry", "cell": [[4.9830, 0.0000, 0.0000], [0.0000, 5.7980, 0.0000], [0.0000, 0.0000, 5.7980]], "species": ["Sr", "Sr", "Co", "Ag", "Ta"], "frac_coords": [[0.0000, 0.0000, 0.5000], [0.0000, 0.5000, 0.0000], [0.5000, 0.5000, 0.5000], [0.0000, 0.0000, 0.0000], [0.5000, 0.0000, 0.0000]], "e_form_ev_per_atom": 1.230, "dos_ef_per_ev_atom": 0.90}

=====

{"formula": "CdCu", "functional": "SCAN", "state": "PBEsol geometry", "cell": [[-2.0296, 0.7600, 2.1315], [0.8148, -2.4257, 1.6407], [4.6664, 3.6843, 3.1296]], "species": ["Cu", "Cu", "Cd", "Cd"], "frac_coords": [[0.5000, 0.0000, 0.5894], [0.0000, 0.5000, 0.4106], [0.5000, 0.0000, 0.1619], [0.0000, 0.5000, 0.8381]], "e_form_ev_per_atom": 0.043, "dos_ef_per_ev_atom": 0.27}

=====

{"formula": "ScTlRh2", "functional": "SCAN", "state": "PBEsol geometry", "cell": [[-0.6142, 1.0089, -2.8213], [0.0558, -3.7877, -1.3667], [-5.3652, -0.4432, 1.0094]], "species": ["Rh", "Rh", "Sc", "Tl"], "frac_coords": [[0.0000, 0.0000, 0.9906], [0.5000, 0.5000, 0.2736], [0.0000, 0.0000, 0.4582], [0.5000, 0.5000, 0.7777]], "e_form_ev_per_atom": -0.429, "dos_ef_per_ev_atom": 0.34, "relative_energy_kj_per_mol_fu": 88}

=====

{"formula": "Rb2ZrRu", "functional": "SCAN", "state": "PBEsol geometry", "cell": [[-0.4470, -4.8477, 1.9275], [2.6128, -1.3456, 4.3333], [-2.5936, -0.8088, 4.4759]], "species": ["Ru", "Rb", "Rb", "Zr"], "frac_coords": [[0.5000, 0.5000, 0.5000], [0.2500, 0.2500, 0.2500], [0.7500, 0.7500, 0.7500], [0.0000, 0.0000, 0.0000]], "e_form_ev_per_atom": 2.133, "dos_ef_per_ev_atom": 0.97}

=====

{"formula": "TaSi2", "functional": "SCAN", "state": "PBEsol geometry", "cell": [[-0.4700, -3.2156, -0.1373], [2.4609, -0.2696, -2.1097], [1.6070, 1.2298, 4.2246]], "species": ["Si", "Si", "Ta"], "frac_coords": [[0.3316, 0.3316, 0.6632], [0.6684, 0.6684, 0.3368], [0.0000, 0.0000, 0.0000]], "dos_ef_per_ev_atom": 0.26, "formation_energy_uncorrected_ev_per_atom": -0.3430}